Entry 1:
Compound: ScMo2Ir
Source: Alexandria via LeMat-Bulk
Functional: GGA-PBE
Structure: optimized geometry

Values from the calculation:
space group = Cmmm
Fermi-level density of states = 2.92 states/eV/cell
magnetization = 0.000 Bohr magnetons per cell
density = 10.84 g/cm3
E = -9.233 eV per atom

Geometry as CIF:
```
data_ScMo2Ir
_cell_length_a 5.2062
_cell_length_b 5.2062
_cell_length_c 2.7930
_cell_angle_alpha 90.00
_cell_angle_beta 90.00
_cell_angle_gamma 119.78
_symmetry_space_group_name_H-M 'P 1'
_symmetry_Int_Tables_number 1
loop_
_symmetry_equiv_pos_as_xyz
'x,y,z'
loop_
_atom_site_label
_atom_site_fract_x
_atom_site_fract_y
_atom_site_fract_z
Sc1 0.0000 0.0000 0.0000
Mo1 0.0000 0.5000 0.5000
Mo2 0.5000 0.0000 0.5000
Ir1 0.5000 0.5000 0.0000
```


Entry 2:
Compound: Nd2CdAuO5
Source: Alexandria via LeMat-Bulk
Functional: GGA-PBE
Structure: optimized geometry

Values from the calculation:
space group = Cmc2_1
Fermi-level density of states = 5.00 states/eV/cell
energy relative to the elements, uncorrected = -1877 meV/atom
magnetization = 0.000 Bohr magnetons per cell
density = 8.82 g/cm3

Geometry as CIF:
```
data_Nd2CdAuO5
_cell_length_a 7.4414
_cell_length_b 7.4414
_cell_length_c 10.3317
_cell_angle_alpha 90.00
_cell_angle_beta 90.00
_cell_angle_gamma 153.49
_symmetry_space_group_name_H-M 'P 1'
_symmetry_Int_Tables_number 1
loop_
_symmetry_equiv_pos_as_xyz
'x,y,z'
loop_
_atom_site_label
_atom_site_fract_x
_atom_site_fract_y
_atom_site_fract_z
Nd1 0.1273 0.8727 0.5000
Nd2 0.1319 0.8681 0.1107
Nd3 0.8681 0.1319 0.6107
Nd4 0.8727 0.1273 0.0000
Cd1 0.1988 0.8012 0.8088
Cd2 0.8012 0.1988 0.3088
Au1 0.4688 0.5312 0.2877
Au2 0.5312 0.4688 0.7877
O1 0.0357 0.9643 0.9143
O2 0.3011 0.6989 0.1389
O3 0.3006 0.6994 0.4759
O4 0.3524 0.6476 0.8155
O5 0.4968 0.5032 0.0909
O6 0.5032 0.4968 0.5909
O7 0.6476 0.3524 0.3155
O8 0.6989 0.3011 0.6389
O9 0.6994 0.3006 0.9759
O10 0.9643 0.0357 0.4143
```


Entry 3:
Compound: AcLaPPt
Source: Alexandria via LeMat-Bulk
Functional: GGA-PBE
Structure: optimized geometry

Values from the calculation:
space group = F-43m
Fermi-level density of states = 4.23 states/eV/cell
magnetization = 0.110 Bohr magnetons per cell
density = 9.55 g/cm3
E = -6.130 eV per atom

Geometry as CIF:
```
data_AcLaPPt
_cell_length_a 5.2602
_cell_length_b 5.2602
_cell_length_c 5.2602
_cell_angle_alpha 60.00
_cell_angle_beta 60.00
_cell_angle_gamma 60.00
_symmetry_space_group_name_H-M 'P 1'
_symmetry_Int_Tables_number 1
loop_
_symmetry_equiv_pos_as_xyz
'x,y,z'
loop_
_atom_site_label
_atom_site_fract_x
_atom_site_fract_y
_atom_site_fract_z
Ac1 0.0000 0.0000 0.0000
La1 0.5000 0.5000 0.5000
P1 0.2500 0.2500 0.2500
Pt1 0.7500 0.7500 0.7500
```


Entry 4:
Compound: KScTeIr2
Source: Alexandria via LeMat-Bulk
Functional: GGA-PBE
Structure: optimized geometry

Values from the calculation:
space group = P4/mmm
Fermi-level density of states = 4.47 states/eV/cell
energy relative to the elements, uncorrected = 939 meV/atom
magnetization = 0.000 Bohr magnetons per cell
density = 7.90 g/cm3

Geometry as CIF:
```
data_KScTeIr2
_cell_length_a 4.8147
_cell_length_b 4.8147
_cell_length_c 5.4036
_cell_angle_alpha 90.00
_cell_angle_beta 90.00
_cell_angle_gamma 90.00
_symmetry_space_group_name_H-M 'P 1'
_symmetry_Int_Tables_number 1
loop_
_symmetry_equiv_pos_as_xyz
'x,y,z'
loop_
_atom_site_label
_atom_site_fract_x
_atom_site_fract_y
_atom_site_fract_z
K1 0.0000 0.0000 0.0000
Sc1 0.0000 0.0000 0.5000
Te1 0.5000 0.5000 0.0000
Ir1 0.0000 0.5000 0.5000
Ir2 0.5000 0.0000 0.5000
```


Entry 5:
Compound: LuScBr
Source: Alexandria via LeMat-Bulk
Functional: GGA-PBE
Structure: optimized geometry

Values from the calculation:
space group = P3m1
Fermi-level density of states = 3.92 states/eV/cell
energy relative to the elements, uncorrected = -669 meV/atom
magnetization = 0.044 Bohr magnetons per cell
density = 6.57 g/cm3

Geometry as CIF:
```
data_LuScBr
_cell_length_a 3.5666
_cell_length_b 3.5666
_cell_length_c 6.8784
_cell_angle_alpha 90.00
_cell_angle_beta 90.00
_cell_angle_gamma 120.00
_symmetry_space_group_name_H-M 'P 1'
_symmetry_Int_Tables_number 1
loop_
_symmetry_equiv_pos_as_xyz
'x,y,z'
loop_
_atom_site_label
_atom_site_fract_x
_atom_site_fract_y
_atom_site_fract_z
Lu1 0.0000 0.0000 0.0000
Sc1 0.3333 0.6667 0.6458
Br1 0.6667 0.3333 0.3352
```


Entry 6:
Compound: Pm4Bi6Rh7
Source: Alexandria via LeMat-Bulk
Functional: GGA-PBE
Structure: optimized geometry

Values from the calculation:
space group = Im-3m
Fermi-level density of states = 8.40 states/eV/cell
magnetization = 0.000 Bohr magnetons per cell
density = 11.33 g/cm3
E = -6.106 eV per atom

Geometry as CIF:
```
data_Pm4Bi6Rh7
_cell_length_a 7.8647
_cell_length_b 7.8647
_cell_length_c 7.8647
_cell_angle_alpha 109.47
_cell_angle_beta 109.47
_cell_angle_gamma 109.47
_symmetry_space_group_name_H-M 'P 1'
_symmetry_Int_Tables_number 1
loop_
_symmetry_equiv_pos_as_xyz
'x,y,z'
loop_
_atom_site_label
_atom_site_fract_x
_atom_site_fract_y
_atom_site_fract_z
Pm1 0.0000 0.0000 0.5000
Pm2 0.0000 0.5000 0.0000
Pm3 0.5000 0.0000 0.0000
Pm4 0.5000 0.5000 0.5000
Bi1 0.0000 0.3161 0.3161
Bi2 0.0000 0.6839 0.6839
Bi3 0.3161 0.0000 0.3161
Bi4 0.3161 0.3161 0.0000
Bi5 0.6839 0.0000 0.6839
Bi6 0.6839 0.6839 0.0000
Rh1 0.0000 0.0000 0.0000
Rh2 0.2500 0.5000 0.7500
Rh3 0.2500 0.7500 0.5000
Rh4 0.5000 0.2500 0.7500
Rh5 0.5000 0.7500 0.2500
Rh6 0.7500 0.2500 0.5000
Rh7 0.7500 0.5000 0.2500
```


Entry 7:
Compound: Mg2AlVCo
Source: Alexandria via LeMat-Bulk
Functional: GGA-PBE
Structure: optimized geometry

Values from the calculation:
space group = P4/mmm
Fermi-level density of states = 9.74 states/eV/cell
magnetization = 2.176 Bohr magnetons per cell
density = 2.82 g/cm3
E = -3.367 eV per atom

Geometry as CIF:
```
data_Mg2AlVCo
_cell_length_a 4.8308
_cell_length_b 4.8308
_cell_length_c 4.6814
_cell_angle_alpha 90.00
_cell_angle_beta 90.00
_cell_angle_gamma 90.00
_symmetry_space_group_name_H-M 'P 1'
_symmetry_Int_Tables_number 1
loop_
_symmetry_equiv_pos_as_xyz
'x,y,z'
loop_
_atom_site_label
_atom_site_fract_x
_atom_site_fract_y
_atom_site_fract_z
Mg1 0.0000 0.5000 0.0000
Mg2 0.5000 0.0000 0.0000
Al1 0.0000 0.0000 0.0000
V1 0.0000 0.0000 0.5000
Co1 0.5000 0.5000 0.5000
```


Entry 8:
Compound: Er2MnGa4Ir3
Source: Alexandria via LeMat-Bulk
Functional: GGA-PBE
Structure: optimized geometry

Values from the calculation:
space group = P-4m2
Fermi-level density of states = 5.29 states/eV/cell
magnetization = 3.040 Bohr magnetons per cell
density = 11.59 g/cm3
E = -6.321 eV per atom

Geometry as CIF:
```
data_Er2MnGa4Ir3
_cell_length_a 3.9517
_cell_length_b 3.9517
_cell_length_c 11.4269
_cell_angle_alpha 90.00
_cell_angle_beta 90.00
_cell_angle_gamma 90.00
_symmetry_space_group_name_H-M 'P 1'
_symmetry_Int_Tables_number 1
loop_
_symmetry_equiv_pos_as_xyz
'x,y,z'
loop_
_atom_site_label
_atom_site_fract_x
_atom_site_fract_y
_atom_site_fract_z
Er1 0.0000 0.5000 0.2485
Er2 0.5000 0.0000 0.7515
Mn1 0.0000 0.0000 0.5000
Ga1 0.0000 0.0000 0.0000
Ga2 0.0000 0.5000 0.6382
Ga3 0.5000 0.0000 0.3618
Ga4 0.5000 0.5000 0.0000
Ir1 0.0000 0.5000 0.8573
Ir2 0.5000 0.0000 0.1427
Ir3 0.5000 0.5000 0.5000
```